VASP calculation (PBE) on a relaxed LaSm3Se3N4 crystal.

Lattice parameters (Å, degrees): 8.0723 7.1019 7.1019 33.25 90.00 90.00
Last column: nearest neighbours and their distance in Å.
Fractional coordinates of all 11 atoms:
La  0.0000  0.9986  0.9986  4 N 2.37-2.38
N  0.2465  0.0947  0.0947  3 Sm 2.32-2.34, 1 La 2.38
N  0.7535  0.0947  0.0947  3 Sm 2.32-2.34, 1 La 2.38
N  0.0000  0.5878  0.5878  2 Sm 2.33, 2 La 2.37
N  0.5000  0.6045  0.6045  4 Sm 2.31-2.37
Se  0.0000  0.3147  0.3147  2 Se 2.72
Se  0.3291  0.3566  0.3566  2 Se 2.72-2.76
Se  0.6709  0.3566  0.3566  2 Se 2.72-2.76
Sm  0.5000  0.0148  0.0148  4 N 2.32-2.37
Sm  0.2433  0.6798  0.6798  4 N 2.31-2.34
Sm  0.7567  0.6798  0.6798  4 N 2.31-2.34

Computed properties:
Space-group type = Amm2 (38)
Crystal system = orthorhombic
Electronic total energy = -6.685 eV/atom

=====

VASP calculation (PBE) on a relaxed NbGaTe crystal.

Lattice parameters (Å, degrees): 4.6400 4.6400 4.6400 60.00 60.00 60.00
Last column: nearest neighbours and their distance in Å.
Fractional coordinates of all 3 atoms:
Ga  0.2500  0.2500  0.2500  4 Nb 2.84
Nb  0.0000  0.0000  0.0000  4 Te 2.84, 4 Ga 2.84
Te  0.7500  0.7500  0.7500  4 Nb 2.84

Computed properties:
Polymorph energy (0 for the lowest one) = 0 meV/atom
Space-group type = F-43m (216)
Crystal system = cubic

=====

VASP calculation (PBE) on a relaxed TbGaPt crystal.

Lattice parameters (Å, degrees): 6.9472 4.4567 7.6968 90.00 90.01 90.00
Last column: nearest neighbours and their distance in Å.
Fractional coordinates of all 12 atoms:
Ga  0.1770  0.7500  0.0782  4 Pt 2.61-2.77
Ga  0.6770  0.7500  0.4217  4 Pt 2.61-2.77
Ga  0.3230  0.2500  0.5783  4 Pt 2.61-2.77
Ga  0.8230  0.2500  0.9218  4 Pt 2.61-2.77
Pt  0.7785  0.7500  0.0939  4 Ga 2.61-2.77, 1 Tb 2.92
Pt  0.2785  0.7500  0.4061  4 Ga 2.61-2.77, 1 Tb 2.92
Pt  0.7215  0.2500  0.5939  4 Ga 2.61-2.77, 1 Tb 2.92
Pt  0.2215  0.2500  0.9061  4 Ga 2.61-2.77, 1 Tb 2.92
Tb  0.4866  0.2500  0.2009  5 Pt 2.92-3.12, 6 Ga 3.10-3.24
Tb  0.9866  0.2500  0.2993  5 Pt 2.92-3.12, 6 Ga 3.10-3.24
Tb  0.0134  0.7500  0.7007  5 Pt 2.92-3.12, 6 Ga 3.10-3.24
Tb  0.5134  0.7500  0.7991  5 Pt 2.92-3.12, 6 Ga 3.10-3.24

Computed properties:
Space-group type = Pnma (62)
Crystal system = orthorhombic
Electronic total energy = -5.677 eV/atom

=====

VASP calculation (PBE) on a relaxed Ho2Zn3GaPd2 crystal.

Lattice parameters (Å, degrees): 5.3059 5.3059 7.0225 90.19 90.19 48.46
Last column: nearest neighbours and their distance in Å.
Fractional coordinates of all 8 atoms:
Ga  0.3674  0.3674  0.9414  3 Pd 2.61-2.65, 2 Zn 2.66-2.70
Ho  0.9221  0.9221  0.2493  3 Pd 2.82-2.97, 4 Zn 3.11-3.12, 2 Ga 3.11
Ho  0.0781  0.0781  0.7462  3 Pd 2.80-2.99, 3 Zn 3.09-3.10, 1 Ga 3.11
Pd  0.2136  0.2136  0.2466  1 Ga 2.61, 5 Zn 2.63-2.69, 1 Ho 2.82
Pd  0.7890  0.7890  0.7559  2 Ga 2.65, 4 Zn 2.65-2.70, 1 Ho 2.80
Zn  0.6290  0.6290  0.0610  3 Pd 2.65-2.67, 1 Ga 2.66, 1 Zn 2.68
Zn  0.6334  0.6334  0.4431  3 Pd 2.66-2.69, 2 Zn 2.68-2.70
Zn  0.3673  0.3673  0.5565  3 Pd 2.63-2.70, 1 Zn 2.70, 1 Ga 2.70

Computed properties:
Space-group type = Cm (8)
Crystal system = monoclinic
Electronic total energy = -3.943 eV/atom